NpGaNiO6 | PBE with a Hubbard U | relaxed

Structure (CIF):
```
data_NpGaNiO6
_chemical_formula_sum 'Np2 Ga2 Ni2 O12'
_space_group_name_H-M_alt 'P -3 1 c'
_space_group_IT_number 163
_space_group_name_Hall '-P 3 2c'
_cell_length_a 5.2093
_cell_length_b 5.2093
_cell_length_c 9.0074
_cell_angle_alpha 90.00
_cell_angle_beta 90.00
_cell_angle_gamma 120.00
loop_
_atom_site_label
_atom_site_type_symbol
_atom_site_fract_x
_atom_site_fract_y
_atom_site_fract_z
Np1 Np 0.3333 0.6667 0.2500
Ga1 Ga 0.3333 0.6667 0.7500
Ni1 Ni 0.0000 0.0000 0.0000
O1 O 0.0032 0.3423 0.6312
```

Values from the calculation:
E_tot = -7.24 eV per atom